1.
# LiIBrO2

A relaxed LiIBrO2 crystal (PBE, Alexandria via LeMat-Bulk).

a = 4.1459 Å, b = 4.1459 Å, c = 6.5228 Å
α = 90.00°, β = 90.00°, γ = 90.00°
Each line ends with the local moment (μB).
Positions (direct):
I: 0.0000 0.0000 0.5000  0.04
O: 0.5000 0.0000 0.0000  1.15
O: 0.0000 0.5000 0.0000  1.15
Li: 0.0000 0.0000 0.0000  -0.02
Br: 0.5000 0.5000 0.5000  0.01

ρ	3.64	g/cm3
energy relative to the elements, uncorrected	27.7	kJ per mole of atoms
uncorrected energy	-2.723	eV/atom
space-group type	P4/mmm, No. 123

***

2.
# LiI2BrO

A relaxed LiI2BrO crystal (PBE, Alexandria via LeMat-Bulk).

a = 5.8662 Å, b = 5.8662 Å, c = 3.5090 Å
α = 90.00°, β = 90.00°, γ = 90.00°
Positions (direct):
Br: 0.5000 0.5000 0.5000
I: 0.0000 0.5000 0.0000
I: 0.5000 0.0000 0.0000
Li: 0.0000 0.0000 0.0000
O: 0.0000 0.0000 0.5000

ρ	4.90	g/cm3
energy relative to the elements, uncorrected	10.9	kJ per mole of atoms
uncorrected energy	-2.216	eV/atom
space-group type	P4/mmm, No. 123

***

3.
# LiI2BrO

A relaxed LiI2BrO crystal (PBE, Alexandria via LeMat-Bulk).

a = 5.9652 Å, b = 5.9652 Å, c = 4.0482 Å
α = 90.00°, β = 90.00°, γ = 90.00°
Positions (direct):
I: 0.0000 0.5000 0.0000
I: 0.5000 0.0000 0.0000
Li: 0.5000 0.5000 0.5000
Br: 0.0000 0.0000 0.0000
O: 0.0000 0.0000 0.5000

ρ	4.11	g/cm3
energy relative to the elements, uncorrected	6.4	kJ per mole of atoms
uncorrected energy	-2.263	eV/atom
space-group type	P4/mmm, No. 123

***

4.
# LiIBrO2

A relaxed LiIBrO2 crystal (PBE, Alexandria via LeMat-Bulk).

a = 3.8942 Å, b = 3.8942 Å, c = 8.2152 Å
α = 90.00°, β = 90.00°, γ = 90.00°
Positions (direct):
O: 0.0000 0.5000 0.0000
O: 0.5000 0.0000 0.0000
Br: 0.0000 0.0000 0.0000
I: 0.0000 0.0000 0.5000
Li: 0.5000 0.5000 0.5000

ρ	3.28	g/cm3
energy relative to the elements, uncorrected	1.1	kJ per mole of atoms
uncorrected energy	-2.999	eV/atom
space-group type	P4/mmm, No. 123

***

5.
# Li3PaI6Br2

A relaxed Li3PaI6Br2 crystal (PBE, Alexandria via LeMat-Bulk).

a = 7.7366 Å, b = 8.2830 Å, c = 8.8537 Å
α = 117.89°, β = 112.19°, γ = 90.00°
Positions (direct):
I: 0.7376 0.8908 0.7816
I: 0.2505 0.1257 0.7509
I: 0.2624 0.1092 0.2184
I: 0.2505 0.6251 0.7509
I: 0.7495 0.8743 0.2491
I: 0.7495 0.3749 0.2491
Br: 0.7068 0.3512 0.7023
Br: 0.2932 0.6488 0.2977
Li: 0.5000 0.0000 0.5000
Li: 0.0000 0.5000 0.0000
Li: 0.5000 0.5000 0.5000
Pa: 0.5000 0.0000 0.0000

ρ	4.30	g/cm3
energy relative to the elements, uncorrected	-107.7	kJ per mole of atoms
uncorrected energy	-3.440	eV/atom
space-group type	C2/m, No. 12

***

6.
# Li3PaI2Br6

A relaxed Li3PaI2Br6 crystal (PBE, Alexandria via LeMat-Bulk).

a = 6.8015 Å, b = 8.2713 Å, c = 8.4501 Å
α = 119.30°, β = 98.58°, γ = 90.00°
Positions (direct):
Br: 0.2801 0.1404 0.2807
Br: 0.2612 0.1431 0.8197
Br: 0.7388 0.3234 0.1803
Br: 0.7199 0.8596 0.7193
Br: 0.2612 0.6766 0.8197
Br: 0.7388 0.8569 0.1803
Li: 0.5000 0.5000 0.5000
Li: 0.5000 0.0000 0.5000
Li: 0.0000 0.5000 0.0000
I: 0.7424 0.3383 0.6766
I: 0.2576 0.6617 0.3234
Pa: 0.5000 0.0000 0.0000

ρ	4.00	g/cm3
energy relative to the elements, uncorrected	-127.9	kJ per mole of atoms
uncorrected energy	-3.690	eV/atom
space-group type	C2/m, No. 12

***

7.
# Li2Pu2I2Br5

A relaxed Li2Pu2I2Br5 crystal (PBE, Alexandria via LeMat-Bulk).

a = 5.8996 Å, b = 5.8996 Å, c = 13.0517 Å
α = 103.06°, β = 103.06°, γ = 90.00°
Each line ends with the local moment (μB).
Positions (direct):
Br: 0.3820 0.8820 0.7640  0.03
Br: 0.8820 0.3820 0.7640  0.03
Br: 0.0000 0.0000 0.0000  0.04
Br: 0.1180 0.6180 0.2360  0.03
Br: 0.6180 0.1180 0.2360  0.03
Pu: 0.1172 0.1172 0.2344  -5.46
Pu: 0.8828 0.8828 0.7656  -5.46
I: 0.2394 0.2394 0.4787  0.03
I: 0.7606 0.7606 0.5213  0.03
Li: 0.6534 0.6534 0.3069  0.00
Li: 0.3466 0.3466 0.6931  0.00

ρ	4.46	g/cm3
energy relative to the elements, uncorrected	-123.7	kJ per mole of atoms
uncorrected energy	-5.278	eV/atom
space-group type	I4/mmm, No. 139

***

8.
# Rb3Li2I2Br4

A relaxed Rb3Li2I2Br4 crystal (PBE, Alexandria via LeMat-Bulk).

a = 5.2918 Å, b = 5.2918 Å, c = 14.9384 Å
α = 100.20°, β = 100.20°, γ = 90.00°
Each line ends with the local moment (μB).
Positions (direct):
Rb: 0.1693 0.1693 0.3387  0.00
Rb: 0.0000 0.0000 0.0000  0.00
Rb: 0.8307 0.8307 0.6613  0.00
Br: 0.9172 0.4172 0.8345  0.03
Br: 0.5828 0.0828 0.1655  0.03
Br: 0.0828 0.5828 0.1655  0.03
Br: 0.4172 0.9172 0.8345  0.03
I: 0.7009 0.7009 0.4018  0.13
I: 0.2991 0.2991 0.5982  0.13
Li: 0.3982 0.3982 0.7964  0.00
Li: 0.6018 0.6018 0.2036  0.00

ρ	3.46	g/cm3
energy relative to the elements, uncorrected	-131.4	kJ per mole of atoms
uncorrected energy	-2.864	eV/atom
space-group type	I4/mmm, No. 139

***

9.
# Rb2LiIBr4

A relaxed Rb2LiIBr4 crystal (PBE, Alexandria via LeMat-Bulk).

a = 9.7292 Å, b = 9.7292 Å, c = 10.2600 Å
α = 107.25°, β = 107.25°, γ = 114.77°
Positions (direct):
Li: 0.0000 0.5000 0.0000
Li: 0.0000 0.5000 0.5000
Br: 0.2922 0.4504 0.6356
Br: 0.9504 0.7922 0.1356
Br: 0.3111 0.7076 0.1098
Br: 0.2076 0.8111 0.6098
Br: 0.7078 0.5496 0.3644
Br: 0.6889 0.2924 0.8902
Br: 0.0496 0.2078 0.8644
Br: 0.7924 0.1889 0.3902
Rb: 0.0000 0.0000 0.5000
Rb: 0.5000 0.5000 0.0000
Rb: 0.5000 0.0000 0.0000
Rb: 0.5000 0.0000 0.5000
I: 0.0000 0.0000 0.0000
I: 0.5000 0.5000 0.5000

ρ	2.82	g/cm3
energy relative to the elements, uncorrected	-117.4	kJ per mole of atoms
uncorrected energy	-2.728	eV/atom
space-group type	C2/c, No. 15

***

10.
# Rb2LiI6Br

A relaxed Rb2LiI6Br crystal (PBE, Alexandria via LeMat-Bulk).

a = 8.4297 Å, b = 8.4297 Å, c = 8.7357 Å
α = 61.15°, β = 61.15°, γ = 90.00°
Positions (direct):
I: 0.2953 0.2953 0.4095
I: 0.7047 0.7047 0.5905
I: 0.7630 0.7630 0.0000
I: 0.2370 0.7630 0.0000
I: 0.7630 0.2370 0.0000
I: 0.2370 0.2370 0.0000
Rb: 0.2500 0.7500 0.5000
Rb: 0.7500 0.2500 0.5000
Br: 0.0000 0.0000 0.0000
Li: 0.5000 0.5000 0.0000

ρ	3.73	g/cm3
energy relative to the elements, uncorrected	-65.5	kJ per mole of atoms
uncorrected energy	-2.161	eV/atom
space-group type	I4/mmm, No. 139

***

11.
# RbLi2IBr2

A relaxed RbLi2IBr2 crystal (PBE, Alexandria via LeMat-Bulk).

a = 6.2324 Å, b = 7.7138 Å, c = 9.2534 Å
α = 106.24°, β = 90.00°, γ = 90.00°
Positions (direct):
Br: 0.7500 0.3982 0.2724
Br: 0.7500 0.8818 0.6171
Br: 0.2500 0.1182 0.3829
Br: 0.2500 0.6018 0.7276
Rb: 0.7500 0.3352 0.6321
Rb: 0.2500 0.6648 0.3679
I: 0.2500 0.1716 0.9381
I: 0.7500 0.8284 0.0619
Li: 0.4981 0.8612 0.8179
Li: 0.9981 0.1388 0.1821
Li: 0.5019 0.1388 0.1821
Li: 0.0019 0.8612 0.8179

ρ	3.00	g/cm3
energy relative to the elements, uncorrected	-143.3	kJ per mole of atoms
uncorrected energy	-3.100	eV/atom
space-group type	P2_1/m, No. 11

***

12.
# Li6SI2Br2

A relaxed Li6SI2Br2 crystal (PBE, Alexandria via LeMat-Bulk).

a = 7.2727 Å, b = 7.2727 Å, c = 6.7623 Å
α = 95.20°, β = 95.20°, γ = 121.19°
Positions (direct):
I: 0.6599 0.3401 0.5000
I: 0.3401 0.6599 0.5000
Br: 0.8495 0.1505 0.0000
Br: 0.1505 0.8495 0.0000
Li: 0.1658 0.1658 0.2329
Li: 0.0094 0.3064 0.6784
Li: 0.9906 0.6936 0.3216
Li: 0.6936 0.9906 0.3216
Li: 0.3064 0.0094 0.6784
Li: 0.8342 0.8342 0.7671
S: 0.0000 0.0000 0.5000

ρ	2.69	g/cm3
energy relative to the elements, uncorrected	-123.5	kJ per mole of atoms
uncorrected energy	-3.285	eV/atom
space-group type	C2/m, No. 12

***

13.
# Li5SIBr2

A relaxed Li5SIBr2 crystal (PBE, Alexandria via LeMat-Bulk).

a = 4.5939 Å, b = 6.6962 Å, c = 7.7682 Å
α = 115.53°, β = 107.20°, γ = 90.00°
Positions (direct):
Li: 0.3698 0.1117 0.7396
Li: 0.3698 0.6279 0.7396
Li: 0.0000 0.0000 0.0000
Li: 0.6302 0.8883 0.2604
Li: 0.6302 0.3721 0.2604
I: 0.0000 0.5000 0.0000
Br: 0.2283 0.2283 0.4567
Br: 0.7717 0.7717 0.5433
S: 0.5000 0.0000 0.0000

ρ	2.88	g/cm3
energy relative to the elements, uncorrected	-127.1	kJ per mole of atoms
uncorrected energy	-3.383	eV/atom
space-group type	Immm, No. 71

***

14.
# Li2ScIBr

A relaxed Li2ScIBr crystal (PBE, Alexandria via LeMat-Bulk).

a = 5.1165 Å, b = 5.5762 Å, c = 5.1165 Å
α = 90.00°, β = 90.00°, γ = 90.00°
Each line ends with the local moment (μB).
Positions (direct):
Li: 0.0000 0.0000 0.5000  0.01
Li: 0.5000 0.0000 0.0000  0.01
I: 0.0000 0.0000 0.0000  0.01
Br: 0.5000 0.5000 0.5000  0.01
Sc: 0.0000 0.5000 0.0000  0.69

ρ	3.02	g/cm3
energy relative to the elements, uncorrected	-15.6	kJ per mole of atoms
uncorrected energy	-2.838	eV/atom
space-group type	P4/mmm, No. 123

***

15.
# LiSeIBr2

A relaxed LiSeIBr2 crystal (PBE, Alexandria via LeMat-Bulk).

a = 5.8713 Å, b = 5.8713 Å, c = 5.4450 Å
α = 90.00°, β = 90.00°, γ = 90.00°
Positions (direct):
Se: 0.0000 0.0000 0.5000
I: 0.0000 0.0000 0.0000
Br: 0.5000 0.0000 0.0000
Br: 0.0000 0.5000 0.0000
Li: 0.5000 0.5000 0.5000

ρ	3.30	g/cm3
energy relative to the elements, uncorrected	-3.2	kJ per mole of atoms
uncorrected energy	-2.092	eV/atom
space-group type	P4/mmm, No. 123

***

16.
# LiSeIBr2

A relaxed LiSeIBr2 crystal (PBE, Alexandria via LeMat-Bulk).

a = 4.5496 Å, b = 4.5496 Å, c = 8.3687 Å
α = 90.00°, β = 90.00°, γ = 90.00°
Positions (direct):
Br: 0.0000 0.5000 0.0000
Br: 0.5000 0.0000 0.0000
I: 0.5000 0.5000 0.5000
Li: 0.0000 0.0000 0.0000
Se: 0.0000 0.0000 0.5000

ρ	3.57	g/cm3
energy relative to the elements, uncorrected	-11.5	kJ per mole of atoms
uncorrected energy	-2.178	eV/atom
space-group type	P4/mmm, No. 123

***

17.
# Li6SeI2Br2

A relaxed Li6SeI2Br2 crystal (PBE, Alexandria via LeMat-Bulk).

a = 7.5252 Å, b = 7.5252 Å, c = 6.9293 Å
α = 91.46°, β = 91.46°, γ = 121.85°
Positions (direct):
Br: 0.1484 0.8516 0.0000
Br: 0.8516 0.1484 0.0000
Se: 0.0000 0.0000 0.5000
Li: 0.0022 0.6960 0.3382
Li: 0.8591 0.8591 0.8101
Li: 0.1409 0.1409 0.1899
Li: 0.9978 0.3040 0.6618
Li: 0.3040 0.9978 0.6618
Li: 0.6960 0.0022 0.3382
I: 0.6667 0.3333 0.5000
I: 0.3333 0.6667 0.5000

ρ	2.67	g/cm3
energy relative to the elements, uncorrected	-120.9	kJ per mole of atoms
uncorrected energy	-3.200	eV/atom
space-group type	C2/m, No. 12

***

18.
# LiSeI2Br

A relaxed LiSeI2Br crystal (PBE, Alexandria via LeMat-Bulk).

a = 5.9256 Å, b = 5.2907 Å, c = 5.9256 Å
α = 90.00°, β = 90.00°, γ = 90.00°
Positions (direct):
I: 0.5000 0.0000 0.0000
I: 0.0000 0.0000 0.5000
Br: 0.0000 0.0000 0.0000
Se: 0.0000 0.5000 0.0000
Li: 0.5000 0.5000 0.5000

ρ	3.75	g/cm3
energy relative to the elements, uncorrected	15.2	kJ per mole of atoms
uncorrected energy	-1.877	eV/atom
space-group type	P4/mmm, No. 123

***

19.
# LiSnIBr2

A relaxed LiSnIBr2 crystal (PBE, Alexandria via LeMat-Bulk).

a = 5.4143 Å, b = 7.3807 Å, c = 9.0617 Å
α = 93.61°, β = 90.00°, γ = 90.00°
Positions (direct):
Sn: 0.7500 0.2678 0.6073
Sn: 0.2500 0.7322 0.3927
I: 0.2500 0.5794 0.7125
I: 0.7500 0.4206 0.2875
Li: 0.7500 0.0596 0.1501
Li: 0.2500 0.9404 0.8499
Br: 0.2500 0.0949 0.5829
Br: 0.7500 0.0315 0.8627
Br: 0.2500 0.9685 0.1373
Br: 0.7500 0.9051 0.4171

ρ	3.79	g/cm3
energy relative to the elements, uncorrected	-88.4	kJ per mole of atoms
uncorrected energy	-3.078	eV/atom
space-group type	P2_1/m, No. 11

***

20.
# Li2SnIBr

A relaxed Li2SnIBr crystal (PBE, Alexandria via LeMat-Bulk).

a = 4.9748 Å, b = 6.4939 Å, c = 4.9748 Å
α = 90.00°, β = 90.00°, γ = 90.00°
Positions (direct):
Br: 0.0000 0.0000 0.0000
Sn: 0.0000 0.5000 0.0000
Li: 0.0000 0.0000 0.5000
Li: 0.5000 0.0000 0.0000
I: 0.5000 0.5000 0.5000

ρ	3.51	g/cm3
energy relative to the elements, uncorrected	-33.0	kJ per mole of atoms
uncorrected energy	-2.553	eV/atom
space-group type	P4/mmm, No. 123

***

21.
# LiTeI2Br

A relaxed LiTeI2Br crystal (PBE, Alexandria via LeMat-Bulk).

a = 5.2104 Å, b = 5.2104 Å, c = 5.6733 Å
α = 90.00°, β = 90.00°, γ = 90.00°
Positions (direct):
I: 0.5000 0.0000 0.0000
I: 0.0000 0.5000 0.0000
Br: 0.5000 0.5000 0.5000
Te: 0.0000 0.0000 0.5000
Li: 0.0000 0.0000 0.0000

ρ	5.05	g/cm3
energy relative to the elements, uncorrected	4.9	kJ per mole of atoms
uncorrected energy	-1.915	eV/atom
space-group type	P4/mmm, No. 123

***

22.
# LiTeI2Br

A relaxed LiTeI2Br crystal (PBE, Alexandria via LeMat-Bulk).

a = 5.9199 Å, b = 5.9199 Å, c = 5.7315 Å
α = 90.00°, β = 90.00°, γ = 90.00°
Positions (direct):
I: 0.0000 0.5000 0.0000
I: 0.5000 0.0000 0.0000
Te: 0.0000 0.0000 0.5000
Li: 0.5000 0.5000 0.5000
Br: 0.0000 0.0000 0.0000

ρ	3.87	g/cm3
energy relative to the elements, uncorrected	14.4	kJ per mole of atoms
uncorrected energy	-1.816	eV/atom
space-group type	P4/mmm, No. 123

***

23.
# LiTlIBr

A relaxed LiTlIBr crystal (PBE, Alexandria via LeMat-Bulk).

a = 4.6411 Å, b = 4.6411 Å, c = 15.7480 Å
α = 90.00°, β = 90.00°, γ = 120.00°
Positions (direct):
I: 0.3333 0.6667 0.9237
I: 0.6667 0.3333 0.4237
Tl: 0.6667 0.3333 0.7549
Tl: 0.3333 0.6667 0.2549
Li: 0.0000 0.0000 0.9879
Li: 0.0000 0.0000 0.4879
Br: 0.0000 0.0000 0.6458
Br: 0.0000 0.0000 0.1458

ρ	4.73	g/cm3
energy relative to the elements, uncorrected	-99.8	kJ per mole of atoms
uncorrected energy	-2.910	eV/atom
space-group type	P6_3mc, No. 186

***

24.
# Li2TlIBr2

A relaxed Li2TlIBr2 crystal (PBE, Alexandria via LeMat-Bulk).

a = 6.3801 Å, b = 7.3534 Å, c = 9.0110 Å
α = 106.91°, β = 90.00°, γ = 90.00°
Positions (direct):
I: 0.7500 0.8039 0.0392
I: 0.2500 0.1961 0.9608
Li: 0.5018 0.1160 0.1929
Li: 0.4982 0.8840 0.8071
Li: 0.0018 0.8840 0.8071
Li: 0.9982 0.1160 0.1929
Br: 0.7500 0.9234 0.6111
Br: 0.2500 0.0766 0.3889
Br: 0.2500 0.6143 0.6969
Br: 0.7500 0.3857 0.3031
Tl: 0.7500 0.3687 0.6535
Tl: 0.2500 0.6313 0.3465

ρ	4.15	g/cm3
energy relative to the elements, uncorrected	-113.2	kJ per mole of atoms
uncorrected energy	-3.021	eV/atom
space-group type	P2_1/m, No. 11